(1)
Here is crystalline TbLuRuRh at its relaxed geometry from Alexandria. Energies are from PBE.

a b c (Å): 4.785 4.785 4.785
angles (deg): 60.00 60.00 60.00
Fractional positions:
Tb: 0.000 0.000 0.000
Lu: 0.500 0.500 0.500
Ru: 0.250 0.250 0.250
Rh: 0.750 0.750 0.750

Computed properties:
Its space group is F-43m, No. 216. The calculation puts the formation energy at -15.6 kcal/mol of atoms.


(2)
Here is crystalline LuThRuRh at its relaxed geometry from Alexandria. Energies are from PBE.

a b c (Å): 4.899 4.899 4.899
angles (deg): 60.00 60.00 60.00
Fractional positions:
Lu: 0.000 0.000 0.000
Th: 0.500 0.500 0.500
Ru: 0.250 0.250 0.250
Rh: 0.750 0.750 0.750

Computed properties:
Its space group is F-43m, No. 216. The calculation puts the formation energy at -15.6 kcal/mol of atoms.


(3)
Here is crystalline LuTiRuRh at its relaxed geometry from Alexandria. Energies are from PBE.

a b c (Å): 4.548 4.548 4.548
angles (deg): 60.00 60.00 60.00
Fractional positions:
Lu: 0.000 0.000 0.000
Ti: 0.500 0.500 0.500
Ru: 0.750 0.750 0.750
Rh: 0.250 0.250 0.250

Computed properties:
Its space group is F-43m, No. 216. The calculation puts the formation energy at -16.4 kcal/mol of atoms.


(4)
Here is crystalline LuTlRuRh at its relaxed geometry from Alexandria. Energies are from PBE.

a b c (Å): 4.680 4.680 4.680
angles (deg): 60.00 60.00 60.00
Fractional positions:
Lu: 0.000 0.000 0.000
Tl: 0.500 0.500 0.500
Ru: 0.250 0.250 0.250
Rh: 0.750 0.750 0.750

Computed properties:
Its space group is F-43m, No. 216. The calculation puts the formation energy at -6.7 kcal/mol of atoms.


(5)
Here is crystalline TmLuRuRh at its relaxed geometry from Alexandria. Energies are from PBE.

a b c (Å): 4.739 4.739 4.739
angles (deg): 60.00 60.00 60.00
Fractional positions:
Tm: 0.000 0.000 0.000
Lu: 0.500 0.500 0.500
Ru: 0.250 0.250 0.250
Rh: 0.750 0.750 0.750

Computed properties:
Its space group is F-43m, No. 216. The calculation puts the formation energy at -17.4 kcal/mol of atoms.


(6)
Here is crystalline LuURuRh at its relaxed geometry from Alexandria. Energies are from PBE.

a b c (Å): 4.776 4.776 4.776
angles (deg): 60.00 60.00 60.00
Fractional positions:
Lu: 0.000 0.000 0.000
U: 0.500 0.500 0.500
Ru: 0.250 0.250 0.250
Rh: 0.750 0.750 0.750

Computed properties:
Its space group is F-43m, No. 216. The calculation puts the formation energy at -10.7 kcal/mol of atoms.


(7)
Here is crystalline LuVRuRh at its relaxed geometry from Alexandria. Energies are from PBE.

a b c (Å): 4.497 4.497 4.497
angles (deg): 60.00 60.00 60.00
Fractional positions:
Lu: 0.000 0.000 0.000
V: 0.500 0.500 0.500
Ru: 0.250 0.250 0.250
Rh: 0.750 0.750 0.750

Computed properties:
Its space group is F-43m, No. 216. The calculation puts the formation energy at -8.8 kcal/mol of atoms.


(8)
Here is crystalline LuSb2Rh at its relaxed geometry from Alexandria. Energies are from PBE.

a b c (Å): 9.912 9.912 9.912
angles (deg): 20.09 20.09 20.09
Fractional positions:
Lu: 0.000 0.000 0.000
Sb: 0.104 0.104 0.104
Sb: 0.896 0.896 0.896
Rh: 0.500 0.500 0.500

Computed properties:
Its space group is R-3m, No. 166. The energy relative to the elements, uncorrected is -188 meV per atom.


(9)
Here is crystalline LuSbRh at its relaxed geometry from Alexandria. Energies are from PBE.

a b c (Å): 5.281 5.281 5.281
angles (deg): 138.34 138.34 60.38
Fractional positions:
Lu: 0.000 0.000 0.000
Sb: 0.681 0.681 0.000
Rh: 0.376 0.376 0.000

Computed properties:
Its space group is I4mm, No. 107. The energy relative to the elements, uncorrected is -578 meV per atom.


(10)
Here is crystalline LuSbRh at its relaxed geometry from Alexandria. Energies are from PBE.

a b c (Å): 4.575 4.575 3.411
angles (deg): 90.00 90.00 120.00
Fractional positions:
Lu: 0.000 0.000 0.000
Sb: 0.667 0.333 0.500
Rh: 0.333 0.667 0.500

Computed properties:
Its space group is P-6m2, No. 187. The energy relative to the elements, uncorrected is -861 meV per atom.


(11)
Here is crystalline LuSbRh4 at its relaxed geometry from Alexandria. Energies are from PBE.

a b c (Å): 5.277 5.277 5.277
angles (deg): 60.00 60.00 60.00
Fractional positions:
Lu: 0.000 0.000 0.000
Sb: 0.750 0.750 0.750
Rh: 0.376 0.376 0.376
Rh: 0.376 0.376 0.873
Rh: 0.376 0.873 0.376
Rh: 0.873 0.376 0.376

Computed properties:
Its space group is F-43m, No. 216. The energy relative to the elements, uncorrected is -413 meV per atom.


(12)
Here is crystalline Lu2SbRh at its relaxed geometry from Alexandria. Energies are from PBE.

a b c (Å): 3.480 3.480 7.393
angles (deg): 90.00 90.00 90.00
Fractional positions:
Lu: 0.000 0.000 0.218
Lu: 0.000 0.000 0.782
Sb: 0.500 0.500 0.500
Rh: 0.500 0.500 0.000

Computed properties:
Its space group is P4/mmm, No. 123. The energy relative to the elements, uncorrected is -827 meV per atom.


Number 1: DOS at the Fermi energy 1.716 states/eV per cell. Number 2: DOS at the Fermi energy 2.621 states/eV per cell. Number 3: DOS at the Fermi energy 1.652 states/eV per cell. Number 4: DOS at the Fermi energy 3.967 states/eV per cell. Number 5: DOS at the Fermi energy 1.260 states/eV per cell. Number 6: DOS at the Fermi energy 8.168 states/eV per cell. Number 7: DOS at the Fermi energy 4.544 states/eV per cell. Number 8: DOS at the Fermi energy 1.692 states/eV per cell. Number 9: DOS at the Fermi energy 1.380 states/eV per cell. Number 10: DOS at the Fermi energy 1.525 states/eV per cell. Number 11: DOS at the Fermi energy 3.253 states/eV per cell. Number 12: DOS at the Fermi energy 0.830 states/eV per cell.